(1)
The following is a DFT calculation (PBE) of an optimized crystal structure of SrYHg.

Summary:
Energy relative to the elements in eV/atom: -0.09
DFT total energy in eV/atom: -2.909
Distance to the lowest polymorph of the same formula in kJ/mol of formula units: 55
Magnetic moment in Bohr magnetons per cell: 0.00
Symmetry: F-43m (216)

a b c (Å): 5.332 5.332 5.332
angles (deg): 60.00 60.00 60.00
Fractional positions:
Hg 0.750 0.750 0.750
Sr 0.000 0.000 0.000
Y 0.500 0.500 0.500

---

(2)
The following is a DFT calculation (PBE) of an optimized crystal structure of SrY2Hg.

Summary:
Energy relative to the elements in eV/atom: 0.01
DFT total energy in eV/atom: -3.719
Magnetic moment in Bohr magnetons per cell: 0.00
Symmetry: I-4m2 (119)

a b c (Å): 6.139 6.139 6.139
angles (deg): 132.45 132.45 69.52
Fractional positions:
Hg 0.500 0.500 0.000
Sr 0.750 0.250 0.500
Y 0.000 0.000 0.000
Y 0.250 0.750 0.500

---

(3)
The following is a DFT calculation (PBE) of an optimized crystal structure of SrYHg3.

Summary:
Energy relative to the elements in eV/atom: -0.47
DFT total energy in eV/atom: -2.282
Distance to the lowest polymorph of the same formula in kJ/mol of formula units: 0
Magnetic moment in Bohr magnetons per cell: 0.00
Symmetry: Cmcm (63)

a b c (Å): 3.864 4.941 14.929
angles (deg): 90.00 97.44 90.00
Fractional positions:
Sr 0.922 0.750 0.844
Sr 0.078 0.250 0.156
Y 0.210 0.750 0.419
Y 0.790 0.250 0.581
Hg 0.626 0.750 0.251
Hg 0.374 0.250 0.749
Hg 0.526 0.750 0.053
Hg 0.474 0.250 0.947
Hg 0.687 0.250 0.373
Hg 0.313 0.750 0.627

---

(4)
The following is a DFT calculation (PBE) of an optimized crystal structure of SrY2Hg2.

Summary:
Energy relative to the elements in eV/atom: -0.15
DFT total energy in eV/atom: -3.193
Distance to the lowest polymorph of the same formula in kJ/mol of formula units: 96
Magnetic moment in Bohr magnetons per cell: 0.81
Symmetry: I4/mmm (139)

a b c (Å): 5.514 5.514 6.925
angles (deg): 66.54 66.54 90.00
Last column: magnetic moment on the atom in μB.
Fractional positions:
Y 0.348 0.348 0.304  0.18
Y 0.652 0.652 0.696  0.18
Sr 0.000 0.000 0.000  0.01
Hg 0.750 0.250 0.500  0.00
Hg 0.250 0.750 0.500  0.00

---

(5)
The following is a DFT calculation (PBE) of an optimized crystal structure of SrY2Hg.

Summary:
Energy relative to the elements in eV/atom: -0.19
DFT total energy in eV/atom: -3.920
Magnetic moment in Bohr magnetons per cell: 0.59
Symmetry: P4mm (99)

a b c (Å): 3.759 3.759 9.355
angles (deg): 90.00 90.00 90.00
Last column: magnetic moment on the atom in μB.
Fractional positions:
Hg 0.000 0.000 0.471  0.00
Sr 0.500 0.500 0.710  0.00
Y 0.000 0.000 0.035  0.16
Y 0.500 0.500 0.284  0.12

---

(6)
The following is a DFT calculation (PBE) of an optimized crystal structure of Sr2YHg.

Summary:
Energy relative to the elements in eV/atom: 0.05
DFT total energy in eV/atom: -2.478
Magnetic moment in Bohr magnetons per cell: 0.00
Symmetry: F-43m (216)

a b c (Å): 5.801 5.801 5.801
angles (deg): 60.00 60.00 60.00
Fractional positions:
Hg 0.500 0.500 0.500
Sr 0.000 0.000 0.000
Sr 0.250 0.250 0.250
Y 0.750 0.750 0.750

---

Q: Which of these has the lowest energy relative to the elements?
A: SrYHg3

---

Q: Look up the DFT total energy of the fifth one.
A: -3.920 eV/atom

---

Q: Which value of DFT total energy does entry 3 give?
A: -2.282 eV/atom